No. 1
## Cs3RbNi2F9 (PBE with a Hubbard U)

Data for Cs3RbNi2F9 after structural relaxation.

Computed properties:
* E_tot: -61.03 eV/cell
* crystal system: trigonal

abc: 6.2641 6.2641 7.9655
angles: 90.00 90.00 120.00
With the nearest neighbours (Å) after each atom.
Positions (direct):
Cs 0.0000 0.0000 0.0000  12 F 3.05-3.13
Cs 0.3333 0.6667 0.6709  12 F 3.16-3.46
Cs 0.6667 0.3333 0.3291  12 F 3.16-3.46
Rb 0.0000 0.0000 0.5000  6 F 2.67
Ni 0.3333 0.6667 0.1430  6 F 1.93-2.14
Ni 0.6667 0.3333 0.8570  6 F 1.93-2.14
F 0.0000 0.5000 0.0000  2 Ni 2.14
F 0.1883 0.3767 0.2844  1 Ni 1.93
F 0.1883 0.8117 0.2844  1 Ni 1.93
F 0.3767 0.1883 0.7156  1 Ni 1.93
F 0.5000 0.0000 0.0000  2 Ni 2.14
F 0.5000 0.5000 0.0000  2 Ni 2.14
F 0.6233 0.8117 0.2844  1 Ni 1.93
F 0.8117 0.1883 0.7156  1 Ni 1.93
F 0.8117 0.6233 0.7156  1 Ni 1.93

No. 2
## Cs3Rb3NiF8 (PBE with a Hubbard U)

Data for Cs3Rb3NiF8 after structural relaxation.

Computed properties:
* E_tot: -61.34 eV/cell
* crystal system: monoclinic

abc: 7.9728 7.9728 8.1556
angles: 119.33 119.33 59.93
With the nearest neighbours (Å) after each atom.
Positions (direct):
Cs 0.0000 0.0000 0.0000  6 F 2.93-3.00
Cs 0.0000 0.5000 0.0000  6 F 2.93-3.00
Cs 0.5000 0.0000 0.0000  6 F 2.93-3.00
Rb 0.0000 0.5000 0.5000  6 F 2.78-2.89
Rb 0.5000 0.0000 0.5000  6 F 2.78-2.89
Rb 0.5000 0.5000 0.5000  6 F 2.78-2.89
Ni 0.0000 0.0000 0.5000  6 F 2.11
F 0.1851 0.1851 0.6781  1 Ni 2.11
F 0.1853 0.8079 0.6782  1 Ni 2.11
F 0.1921 0.8147 0.3218  1 Ni 2.11
F 0.2562 0.2562 0.2690  3 Rb 2.78, 3 Cs 2.93
F 0.7438 0.7438 0.7310  3 Rb 2.78, 3 Cs 2.93
F 0.8079 0.1853 0.6782  1 Ni 2.11
F 0.8147 0.1921 0.3218  1 Ni 2.11
F 0.8149 0.8149 0.3219  1 Ni 2.11

No. 3
## CsRbNi2F (PBE with a Hubbard U)

Data for CsRbNi2F after structural relaxation.

Computed properties:
* E_tot: -6.25 eV/cell
* crystal system: tetragonal

abc: 5.6028 5.6028 9.2798
angles: 90.00 90.00 90.00
With the nearest neighbours (Å) after each atom.
Positions (direct):
Cs 0.0000 0.0000 0.0000  4 F 3.96
Rb 0.0000 0.0000 0.5000  4 Ni 2.80
Ni 0.0000 0.5000 0.5000  2 Rb 2.80
Ni 0.5000 0.0000 0.5000  2 Rb 2.80
F 0.5000 0.5000 0.0000  4 Cs 3.96

No. 4
## CsRb2NiF6 (PBE with a Hubbard U)

Data for CsRb2NiF6 after structural relaxation.

Computed properties:
* E_tot: -40.19 eV/cell
* crystal system: tetragonal

abc: 6.6371 6.6371 6.6371
angles: 121.43 121.43 87.53
With the nearest neighbours (Å) after each atom.
Positions (direct):
Cs 0.0000 0.0000 0.0000  6 F 2.75-2.77
Rb 0.2500 0.7500 0.5000  12 F 3.27-3.35
Rb 0.7500 0.2500 0.5000  12 F 3.27-3.35
Ni 0.5000 0.5000 0.0000  6 F 1.84-2.02
F 0.2889 0.2889 0.0000  1 Ni 2.02
F 0.2994 0.2994 0.5988  1 Ni 1.84
F 0.2994 0.7006 0.0000  1 Ni 1.84
F 0.7006 0.2994 0.0000  1 Ni 1.84
F 0.7006 0.7006 0.4012  1 Ni 1.84
F 0.7111 0.7111 0.0000  1 Ni 2.02

> Look up the E_tot of the fourth one.

-40.19 eV/cell

> Which formula does entry 2 have?

Cs3Rb3NiF8

> Which value of E_tot does entry 3 give?

-6.25 eV/cell

> Among the records above, which one has the lowest E_tot?

Cs3Rb3NiF8